# 1
Compound: AcEr2N
Source: Alexandria via LeMat-Bulk
Functional: PBE
Structure: optimized geometry

Calculated values
Distance to the lowest polymorph of the same formula ... 0.620 eV/atom

Lattice parameters (Å, degrees): 3.2669 3.2669 8.8658 90.00 90.00 90.00
With the nearest neighbours (Å) after each atom.
Space group P4/mmm (No. 123)
Asymmetric unit:
Ac (0.0000, 0.0000, 0.0000)  4 Ac 3.27
Er (0.5000, 0.5000, 0.3415)  4 N 2.70, 1 Er 2.81
N (0.0000, 0.0000, 0.5000)  8 Er 2.70


# 2
Compound: AcEr3N
Source: Alexandria via LeMat-Bulk
Functional: PBE
Structure: optimized geometry

Lattice parameters (Å, degrees): 5.0134 5.0134 5.0134 90.00 90.00 90.00
With the nearest neighbours (Å) after each atom.
Space group Pm-3m (No. 221)
Asymmetric unit:
Ac (0.0000, 0.0000, 0.0000)  12 Er 3.54
Er (0.0000, 0.5000, 0.5000)  2 N 2.51
N (0.5000, 0.5000, 0.5000)  6 Er 2.51


# 3
Compound: AcEr2NbN4
Source: Alexandria via LeMat-Bulk
Functional: PBE
Structure: optimized geometry

Lattice parameters (Å, degrees): 3.4730 12.1968 12.0866 90.00 90.00 90.00
With the nearest neighbours (Å) after each atom.
Space group Cmcm (No. 63)
Asymmetric unit:
Ac (0.0000, 0.0894, 0.2500)  2 N 2.61
Er (0.0000, 0.3714, 0.0372)  5 N 2.28-2.54
Nb (0.0000, 0.1720, 0.7500)  4 N 1.96-2.14
N (0.0000, 0.0000, 0.0000)  4 Er 2.38
N (0.0000, 0.2601, 0.6144)  1 Nb 1.96
N (0.0000, 0.4300, 0.2500)  2 Nb 2.14


# 4
Compound: AcErNbN3
Source: Alexandria via LeMat-Bulk
Functional: PBE
Structure: optimized geometry

Lattice parameters (Å, degrees): 7.6114 3.5137 8.2530 90.00 96.98 90.00
With the nearest neighbours (Å) after each atom.
Space group P2_1/m (No. 11)
Asymmetric unit:
Ac (0.1714, 0.2500, 0.1824)  5 N 2.61-2.92
Er (0.3743, 0.7500, 0.8612)  3 N 2.19-2.40
Nb (0.1180, 0.2500, 0.5872)  4 N 2.02-2.18
N (0.1447, 0.2500, 0.8343)  1 Nb 2.02
N (0.1692, 0.7500, 0.4645)  3 Nb 2.09-2.18
N (0.4108, 0.7500, 0.1289)  3 Er 2.19-2.40


# 5
Compound: Ac2ErNpN4
Source: Alexandria via LeMat-Bulk
Functional: PBE
Structure: optimized geometry

Lattice parameters (Å, degrees): 6.1385 3.6066 6.4559 90.00 108.14 90.00
With the nearest neighbours (Å) after each atom.
Space group P2/m (No. 10)
Asymmetric unit:
Ac (0.0000, 0.0000, 0.0000)  6 N 2.80-2.86
Ac (0.5000, 0.5000, 0.0000)  6 N 2.71-2.73
Er (0.0000, 0.5000, 0.5000)  6 N 2.42-2.47
Np (0.5000, 0.0000, 0.5000)  6 N 2.25-2.38
N (0.2558, 0.0000, 0.6980)  1 Np 2.25, 2 Er 2.47
N (0.2764, 0.5000, 0.3017)  2 Np 2.38, 1 Er 2.42


# 6
Compound: Ac2ErN2O2
Source: Alexandria via LeMat-Bulk
Functional: PBE
Structure: optimized geometry

Lattice parameters (Å, degrees): 4.3672 4.3672 13.0360 90.00 90.00 90.00
With the nearest neighbours (Å) after each atom.
Space group I4/mmm (No. 139)
Asymmetric unit:
Ac (0.0000, 0.0000, 0.1384)  1 O 2.38
Er (0.0000, 0.0000, 0.5000)  4 N 2.18, 2 O 2.34
N (0.0000, 0.5000, 0.0000)  2 Er 2.18
O (0.0000, 0.0000, 0.3207)  1 Er 2.34, 1 Ac 2.38


| no. | ΔE_f (raw) (meV/atom) |
| --- | --- |
| 1 | -41 |
| 2 | -407 |
| 3 | -1262 |
| 4 | -1052 |
| 5 | -1211 |
| 6 | -1993 |